[1]
This record from Alexandria describes crystalline AgTe10Au4 at its relaxed geometry. The functional is PBE.

Unit cell a=7.342 b=4.230 c=25.919 alpha=90.00 beta=90.10 gamma=90.00
Space group C2/m (No. 12)
One atom of each set of equivalent atoms:
Ag  0.000  0.000  0.000
Te  0.177  0.500  0.343
Te  0.177  0.500  0.542
Te  0.177  0.500  0.742
Te  0.180  0.500  0.940
Te  0.182  0.500  0.143
Au  0.000  0.000  0.400
Au  0.002  0.000  0.201


[2]
This record from Alexandria describes crystalline Ti2AgTeAu at its relaxed geometry. The functional is PBE.

Unit cell a=4.969 b=4.969 c=5.089 alpha=90.00 beta=90.00 gamma=90.00
Space group P4/mmm (No. 123)
One atom of each set of equivalent atoms:
Ti  0.000  0.500  0.000
Ag  0.000  0.000  0.500
Te  0.500  0.500  0.500
Au  0.000  0.000  0.000


One value per record, in order, for N(E_F): 0.47; 1.02 states/eV per atom.
One value per record, in order, for energy relative to the elements, uncorrected: -0.055; 0.522 eV/atom.